Material: PmGa4Pt6
Method: DFT, PBE-GGA
State: optimized geometry

Summary:
The energy relative to the lowest polymorph listed for this composition comes out at 0.0 meV/atom.

Cell and atoms, written as extended XYZ:
```
11
Lattice="3.9421 0.0000 0.0000 0.0000 6.3999 -3.6950 0.0000 0.0000 7.3899" Properties=species:S:1:pos:R:3 pbc="T T T"
Pm 0.0000 0.0000 0.0000
Ga 1.9710 5.1330 1.5007
Ga 1.9710 2.5338 0.0000
Ga 1.9710 5.1330 -1.5007
Ga 0.0000 2.1333 3.6950
Pt 0.0000 3.4135 -1.4776
Pt 1.9710 3.8919 3.6950
Pt 0.0000 3.4135 1.4776
Pt 0.0000 5.9728 0.0000
Pt 1.9710 1.2540 5.2180
Pt 1.9710 1.2540 2.1720
```

=====

Material: Pm2PuGa3Pt4
Method: DFT, PBE-GGA
State: optimized geometry

Cell and atoms, written as extended XYZ:
```
10
Lattice="-2.2582 -0.0100 3.6616 3.6402 -0.4704 2.2437 1.0305 11.1515 0.6660" Properties=species:S:1:pos:R:3 pbc="T T T"
Pm -0.8948 2.5302 1.9822
Pm 2.6163 8.3811 1.6364
Pu 1.2063 5.3355 3.2857
Ga 0.5152 5.5757 0.3330
Ga -0.2240 9.7892 2.4157
Ga 1.9455 1.1221 1.2029
Pt 0.6910 -0.2402 2.9527
Pt 0.0000 0.0000 0.0000
Pt -0.4518 7.3241 2.2685
Pt 2.1733 3.5872 1.3501
```

=====

Material: PmPu2Ga2Pt7
Method: DFT, PBE-GGA
State: optimized geometry

Cell and atoms, written as extended XYZ:
```
12
Lattice="4.1033 0.0213 -0.0753 0.0263 4.1032 -0.0753 1.7567 1.7545 13.9635" Properties=species:S:1:pos:R:3 pbc="T T T"
Pm 0.0000 0.0000 0.0000
Pu 4.2915 4.2863 4.9406
Pu 1.5948 1.5928 8.8724
Ga 3.7487 3.7441 10.2748
Ga 2.1376 2.1350 3.5381
Pt 2.0648 2.0623 -0.0753
Pt 2.2544 2.2517 5.9824
Pt 3.6319 3.6274 7.8305
Pt 4.1610 2.1152 2.0823
Pt 2.1203 4.1584 2.0823
Pt 3.7660 1.7207 11.7306
Pt 1.7252 3.7639 11.7306
```

=====

Material: Pm2PuGa4Pt3
Method: DFT, PBE-GGA
State: optimized geometry

Cell and atoms, written as extended XYZ:
```
10
Lattice="-0.8284 -1.0298 -4.0417 0.1802 -4.1256 1.0143 -11.4461 0.0723 2.3277" Properties=species:S:1:pos:R:3 pbc="T T T"
Pm -2.9737 -0.4987 -1.5003
Pm -8.7965 -2.0067 2.3143
Pu -6.0472 -2.5416 -0.3498
Ga -0.3241 -2.5777 -1.5137
Ga 0.0000 0.0000 0.0000
Ga -8.0825 -0.4665 -0.4614
Ga -3.6877 -2.0389 1.2754
Pt -5.7230 0.0362 1.1638
Pt -10.4720 -0.4514 0.0245
Pt -1.2982 -2.0540 0.7895
```

=====

Material: PmGaPtRh
Method: DFT, PBE-GGA
State: optimized geometry

Cell and atoms, written as extended XYZ:
```
4
Lattice="4.7158 0.0000 0.0000 2.3579 4.0840 0.0000 2.3579 1.3613 3.8504" Properties=species:S:1:pos:R:3 pbc="T T T"
Rh 2.3579 1.3613 0.9626
Ga 4.7158 2.7227 1.9252
Pt 7.0737 4.0840 2.8878
Pm 0.0000 0.0000 0.0000
```

=====

Material: PmGa2PtRh
Method: DFT, PBE-GGA
State: optimized geometry

Cell and atoms, written as extended XYZ:
```
5
Lattice="-3.1730 -2.5334 1.1295 -0.4609 -1.2108 -4.0104 5.2268 -2.0459 2.2315" Properties=species:S:1:pos:R:3 pbc="T T T"
Pm 0.0000 0.0000 0.0000
Ga -0.9909 -2.8213 -1.2488
Ga 2.5838 -2.9689 0.5994
Pt 1.4745 -2.5644 -1.6096
Rh 0.1185 -3.2257 0.9603
```

=====

Number 1: energy of formation -0.81 eV per atom. Number 2: energy of formation -0.88 eV per atom. Number 3: energy of formation -0.77 eV per atom. Number 4: energy of formation -0.76 eV per atom. Number 5: energy of formation -0.69 eV per atom. Number 6: energy of formation -0.88 eV per atom.